GGA-PBEsol Ce2CoRu3, optimized geometry; symmetry = R-3m; E = -8.799 eV per atom; crystal system = trigonal
1.0
2.624 1.515 4.130
-2.624 1.515 4.130
0.000 -3.030 4.130
Ce Co Ru
2 1 3
direct
0.124 0.124 0.124
0.876 0.876 0.876
0.500 0.500 0.500
0.000 0.500 0.500
0.500 0.000 0.500
0.500 0.500 0.000

GGA-PBEsol BaSc2Cl, optimized geometry; energy above the lowest structure with this stoichiometry = 0.042 eV/atom; symmetry = Immm; crystal system = orthorhombic; formation energy (no corrections) = -0.43 eV per atom
1.0
-1.659 2.730 5.769
1.659 -2.730 5.769
1.659 2.730 -5.769
Ba Sc Cl
1 2 1
direct
0.000 0.000 0.000
0.291 0.791 0.500
0.709 0.209 0.500
0.500 0.500 0.000

no.,ρ (kg/m³)
1,10827
2,4172